Entry 1:
A relaxed structure of KBPt. Source: OQMD, functional PBE.

- Energy above the most stable polymorph in this dataset: 1721 meV per atom
- Total magnetization: 0.000 μB per cell
- Space-group type: F-43m, No. 216

```
data_KBPt
_cell_length_a 4.7127
_cell_length_b 4.7127
_cell_length_c 4.7127
_cell_angle_alpha 60.00
_cell_angle_beta 60.00
_cell_angle_gamma 60.00
_space_group_name_H-M_alt 'P 1'
_space_group_IT_number 1
loop_
_space_group_symop_operation_xyz
'x,y,z'
loop_
_atom_site_label
_atom_site_type_symbol
_atom_site_fract_x
_atom_site_fract_y
_atom_site_fract_z
Pt1 Pt 0.7500 0.7500 0.7500
B1 B 0.2500 0.2500 0.2500
K1 K 0.0000 0.0000 0.0000
```

=====

Entry 2:
A relaxed structure of MgGaPd2. Source: OQMD, functional PBE.

- Space-group type: P6_3/mmc, No. 194
- E: -4.3844 eV/atom

```
data_MgGaPd2
_cell_length_a 4.3162
_cell_length_b 4.3162
_cell_length_c 8.4578
_cell_angle_alpha 90.00
_cell_angle_beta 90.00
_cell_angle_gamma 120.00
_space_group_name_H-M_alt 'P 1'
_space_group_IT_number 1
loop_
_space_group_symop_operation_xyz
'x,y,z'
loop_
_atom_site_label
_atom_site_type_symbol
_atom_site_fract_x
_atom_site_fract_y
_atom_site_fract_z
Pd1 Pd 0.3333 0.6667 0.5822
Pd2 Pd 0.3333 0.6667 0.9178
Pd3 Pd 0.6667 0.3333 0.4178
Pd4 Pd 0.6667 0.3333 0.0822
Ga1 Ga 0.0000 0.0000 0.5000
Ga2 Ga 0.0000 0.0000 0.0000
Mg1 Mg 0.3333 0.6667 0.2500
Mg2 Mg 0.6667 0.3333 0.7500
```

=====

Entry 3:
A relaxed structure of YAl2CuPt. Source: OQMD, functional PBE.

- Total magnetization: 0.005 μB per cell
- Space-group type: I4mm, No. 107
- E: -5.5104 eV/atom

```
data_YAl2CuPt
_cell_length_a 6.1630
_cell_length_b 6.1630
_cell_length_c 6.1630
_cell_angle_alpha 141.59
_cell_angle_beta 141.59
_cell_angle_gamma 55.45
_space_group_name_H-M_alt 'P 1'
_space_group_IT_number 1
loop_
_space_group_symop_operation_xyz
'x,y,z'
loop_
_atom_site_label
_atom_site_type_symbol
_atom_site_fract_x
_atom_site_fract_y
_atom_site_fract_z
Al1 Al 0.7522 0.2522 0.5000
Al2 Al 0.2522 0.7522 0.5000
Cu1 Cu 0.3847 0.3847 0.0000
Pt1 Pt 0.6159 0.6159 0.0000
Y1 Y 0.9949 0.9949 0.0000
```

=====

Entry 4:
A relaxed structure of Zr2Ge2Pd. Source: OQMD, functional PBE.

- Total magnetization: 0.003 μB per cell
- Space-group type: I4/mmm, No. 139
- E: -6.4926 eV/atom

```
data_Zr2Ge2Pd
_cell_length_a 7.2283
_cell_length_b 7.2283
_cell_length_c 7.2283
_cell_angle_alpha 149.69
_cell_angle_beta 149.69
_cell_angle_gamma 43.39
_space_group_name_H-M_alt 'P 1'
_space_group_IT_number 1
loop_
_space_group_symop_operation_xyz
'x,y,z'
loop_
_atom_site_label
_atom_site_type_symbol
_atom_site_fract_x
_atom_site_fract_y
_atom_site_fract_z
Ge1 Ge 0.7500 0.2500 0.5000
Ge2 Ge 0.2500 0.7500 0.5000
Zr1 Zr 0.4006 0.4006 0.0000
Zr2 Zr 0.5994 0.5994 0.0000
Pd1 Pd 0.0000 0.0000 0.0000
```

=====

Entry 5:
A relaxed structure of Ho2TmLuIn2. Source: OQMD, functional PBE.

- Total magnetization: 0.088 μB per cell
- Space-group type: P-6m2, No. 187
- E: -4.2841 eV/atom

```
data_Ho2TmLuIn2
_cell_length_a 5.3214
_cell_length_b 5.3214
_cell_length_c 6.6589
_cell_angle_alpha 90.00
_cell_angle_beta 90.00
_cell_angle_gamma 120.00
_space_group_name_H-M_alt 'P 1'
_space_group_IT_number 1
loop_
_space_group_symop_operation_xyz
'x,y,z'
loop_
_atom_site_label
_atom_site_type_symbol
_atom_site_fract_x
_atom_site_fract_y
_atom_site_fract_z
Ho1 Ho 0.6667 0.3333 0.2495
Ho2 Ho 0.6667 0.3333 0.7505
Lu1 Lu 0.0000 0.0000 0.0000
Tm1 Tm 0.3333 0.6667 0.5000
In1 In 0.3333 0.6667 0.0000
In2 In 0.0000 0.0000 0.5000
```

=====

Entry 6:
A relaxed structure of NdTlHg. Source: OQMD, functional PBE.

- Total magnetization: 0.000 μB per cell
- Space-group type: F-43m, No. 216
- E: -2.7105 eV/atom

```
data_NdTlHg
_cell_length_a 5.0327
_cell_length_b 5.0327
_cell_length_c 5.0327
_cell_angle_alpha 60.00
_cell_angle_beta 60.00
_cell_angle_gamma 60.00
_space_group_name_H-M_alt 'P 1'
_space_group_IT_number 1
loop_
_space_group_symop_operation_xyz
'x,y,z'
loop_
_atom_site_label
_atom_site_type_symbol
_atom_site_fract_x
_atom_site_fract_y
_atom_site_fract_z
Nd1 Nd 0.7500 0.7500 0.7500
Hg1 Hg 0.2500 0.2500 0.2500
Tl1 Tl 0.0000 0.0000 0.0000
```

=====

Entry 7:
A relaxed structure of TcIrW. Source: OQMD, functional PBE.

- Energy above the most stable polymorph in this dataset: 0 meV per atom
- Total magnetization: 0.002 μB per cell
- Space-group type: F-43m, No. 216

```
data_TcIrW
_cell_length_a 4.2229
_cell_length_b 4.2229
_cell_length_c 4.2229
_cell_angle_alpha 60.00
_cell_angle_beta 60.00
_cell_angle_gamma 60.00
_space_group_name_H-M_alt 'P 1'
_space_group_IT_number 1
loop_
_space_group_symop_operation_xyz
'x,y,z'
loop_
_atom_site_label
_atom_site_type_symbol
_atom_site_fract_x
_atom_site_fract_y
_atom_site_fract_z
Tc1 Tc 0.7500 0.7500 0.7500
Ir1 Ir 0.2500 0.2500 0.2500
W1 W 0.0000 0.0000 0.0000
```

=====

Entry 8:
A relaxed structure of Cs2Ag2SnS4. Source: OQMD, functional PBE.

- Space-group type: P4_2/mcm, No. 132
- E: -3.7333 eV/atom

```
data_Cs2Ag2SnS4
_cell_length_a 6.4259
_cell_length_b 6.4259
_cell_length_c 13.5904
_cell_angle_alpha 90.00
_cell_angle_beta 90.00
_cell_angle_gamma 90.00
_space_group_name_H-M_alt 'P 1'
_space_group_IT_number 1
loop_
_space_group_symop_operation_xyz
'x,y,z'
loop_
_atom_site_label
_atom_site_type_symbol
_atom_site_fract_x
_atom_site_fract_y
_atom_site_fract_z
Cs1 Cs 0.7383 0.7383 0.0000
Cs2 Cs 0.2617 0.2617 0.0000
Cs3 Cs 0.7383 0.2617 0.5000
Cs4 Cs 0.2617 0.7383 0.5000
S1 S 0.7796 0.7796 0.6487
S2 S 0.7796 0.2204 0.8513
S3 S 0.7796 0.2204 0.1487
S4 S 0.2204 0.7796 0.1487
S5 S 0.2204 0.7796 0.8513
S6 S 0.7796 0.7796 0.3513
S7 S 0.2204 0.2204 0.6487
S8 S 0.2204 0.2204 0.3513
Ag1 Ag 0.5000 0.0000 0.2500
Ag2 Ag 0.0000 0.5000 0.7500
Ag3 Ag 0.5000 0.0000 0.7500
Ag4 Ag 0.0000 0.5000 0.2500
Sn1 Sn 0.0000 0.0000 0.7500
Sn2 Sn 0.0000 0.0000 0.2500
```